[1]
Material: ReNiIr2
Method: DFT, PBE
State: relaxed

Lattice parameters (Å, degrees): 3.781 2.722 6.015 63.17 90.00 90.00
Element x y z (fractional)
Ir (0.000, 0.505, 0.495)
Ir (0.000, 0.995, 0.005)
Re (0.500, 0.750, 0.750)
Ni (0.500, 0.250, 0.250)

Summary:
- space-group type = Pmmm (47)
- offset from the most stable computed form (eV per atom) = 0.019



[2]
Material: DyScCoPt
Method: DFT, PBE
State: relaxed

Lattice parameters (Å, degrees): 4.711 4.711 4.711 60.00 60.00 60.00
Last column: magnetic moment on the atom in μB.
Element x y z (fractional)
Sc (0.000, 0.000, 0.000)  -0.09
Pt (0.750, 0.750, 0.750)  0.03
Co (0.250, 0.250, 0.250)  0.69
Dy (0.500, 0.500, 0.500)  -0.09

Summary:
- space-group type = F-43m (216)
- DFT total energy (eV per cell) = -26.87



[3]
Material: Ir4Pt2Rh3
Method: DFT, PBE
State: relaxed

Lattice parameters (Å, degrees): 3.882 6.149 7.274 53.64 74.52 90.01
Element x y z (fractional)
Ir (0.442, 0.225, 0.115)
Ir (0.222, 0.101, 0.556)
Ir (0.778, 0.899, 0.444)
Ir (0.558, 0.775, 0.885)
Rh (0.109, 0.558, 0.782)
Rh (0.000, 0.000, 0.000)
Rh (0.891, 0.442, 0.218)
Pt (0.335, 0.670, 0.330)
Pt (0.665, 0.330, 0.670)

Summary:
- space-group type = C2/m (12)
- DFT total energy (eV per cell) = -69.61



[4]
Material: Tb2CeMgHg4
Method: DFT, PBE
State: relaxed

Lattice parameters (Å, degrees): 5.159 5.159 9.378 74.04 74.04 60.00
Last column: magnetic moment on the atom in μB.
Element x y z (fractional)
Tb (0.243, 0.243, 0.270)  0.05
Tb (0.757, 0.757, 0.730)  0.05
Ce (0.000, 0.000, 0.000)  0.88
Hg (0.621, 0.621, 0.137)  0.02
Hg (0.874, 0.874, 0.379)  0.00
Hg (0.379, 0.379, 0.863)  0.02
Hg (0.126, 0.126, 0.621)  0.00
Mg (0.500, 0.500, 0.500)  0.00

Summary:
- space-group type = R-3m (166)
- DFT total energy (eV per cell) = -21.17



[5]
Material: Sc3SeS
Method: DFT, PBE
State: relaxed

Lattice parameters (Å, degrees): 3.628 6.310 8.903 96.78 90.00 90.00
Element x y z (fractional)
S (0.750, 0.735, 0.445)
S (0.250, 0.265, 0.555)
Sc (0.250, 0.966, 0.332)
Sc (0.750, 0.523, 0.679)
Sc (0.750, 0.753, 0.041)
Sc (0.250, 0.247, 0.959)
Sc (0.750, 0.034, 0.668)
Sc (0.250, 0.477, 0.321)
Se (0.250, 0.820, 0.822)
Se (0.750, 0.180, 0.178)

Summary:
- space-group type = P2_1/m (11)
- offset from the most stable computed form (eV per atom) = 0.000
- formation energy (no corrections) (eV/atom) = -1.3227



[6]
Material: CoRe3Cl
Method: DFT, PBE
State: relaxed

Lattice parameters (Å, degrees): 4.298 4.298 4.298 90.00 90.00 90.00
Last column: magnetic moment on the atom in μB.
Element x y z (fractional)
Re (0.000, 0.000, 0.500)  -0.12
Re (0.000, 0.500, 0.000)  -0.15
Re (0.500, 0.000, 0.000)  -0.15
Co (0.500, 0.500, 0.500)  1.41
Cl (0.000, 0.000, 0.000)  -0.01

Summary:
- space-group type = Pm-3m (221)
- offset from the most stable computed form (eV per atom) = 0.000
- formation energy (no corrections) (eV/atom) = 1.8486



[7]
Material: FeCuOs2
Method: DFT, PBE
State: relaxed

Lattice parameters (Å, degrees): 4.242 4.242 4.242 60.00 60.00 60.00
Last column: magnetic moment on the atom in μB.
Element x y z (fractional)
Fe (0.750, 0.750, 0.750)  2.66
Cu (0.500, 0.500, 0.500)  0.08
Os (0.000, 0.000, 0.000)  0.44
Os (0.250, 0.250, 0.250)  -0.13

Summary:
- space-group type = F-43m (216)
- offset from the most stable computed form (eV per atom) = 0.206



[8]
Material: K2SnHg16
Method: DFT, PBE
State: relaxed

Lattice parameters (Å, degrees): 8.327 8.327 8.327 78.49 78.49 78.49
Element x y z (fractional)
Hg (0.347, 0.347, 0.890)
Hg (0.890, 0.347, 0.347)
Hg (0.001, 0.302, 0.699)
Hg (0.302, 0.699, 0.001)
Hg (0.213, 0.609, 0.609)
Hg (0.960, 0.960, 0.549)
Hg (0.960, 0.549, 0.960)
Hg (0.699, 0.001, 0.302)
Hg (0.609, 0.213, 0.609)
Hg (0.549, 0.960, 0.960)
Hg (0.347, 0.890, 0.347)
Hg (0.302, 0.001, 0.699)
Hg (0.111, 0.111, 0.111)
Hg (0.609, 0.609, 0.213)
Hg (0.001, 0.699, 0.302)
Hg (0.699, 0.302, 0.001)
K (0.651, 0.651, 0.651)
K (0.324, 0.324, 0.324)
Sn (0.925, 0.925, 0.925)

Summary:
- space-group type = R3m (160)
- DFT total energy (eV per cell) = -12.71